Material: Sc2CrPdO
Method: DFT, PBE with a Hubbard U
State: optimized geometry

## Properties
SG: P4/mmm
E in eV per atom: -7.009

Unit cell a=4.2899 b=4.5520 c=4.2899 alpha=90.00 beta=90.00 gamma=90.00
Each line ends with the local moment (μB).
Positions (direct):
Sc1 0.0000 0.0000 0.5000  -0.03
Sc2 0.5000 0.0000 0.0000  -0.12
Cr1 0.5000 0.5000 0.5000  4.08
O1 0.0000 0.0000 0.0000  0.02
Pd1 0.0000 0.5000 0.0000  0.05